# 1
# BaVAu3

A relaxed structure of BaVAu3 (GGA-PBE, Alexandria).

The energy relative to the elements comes out at 1.114 eV/atom. As for the total energy: -3.06 eV/atom. For the energy above the most stable polymorph in this dataset, the calculation gives 1.2216 eV/atom. The density of states at the Fermi level comes out at 2.158 states/eV per atom. For the total magnetization, the calculation gives 4.0 μB per formula unit.

It has space group Pm-3m (No. 221), with a = 5.978 Å, b = 5.978 Å, c = 5.978 Å, α = 90.00°, β = 90.00° and γ = 90.00°. The distinct sites, in fractional coordinates, are Ba at (0.000, 0.000, 0.000), V at (0.500, 0.500, 0.500) and Au at (0.000, 0.000, 0.500).

# 2
# Na2NbSe

A relaxed structure of Na2NbSe (GGA-PBE, Alexandria).

As for the total energy: -3.79 eV/atom. The density of states at the Fermi level comes out at 0.634 states/eV per atom. The value obtained for the uncorrected formation energy is 1.04 eV/f.u. For the total magnetization, the calculation gives 3.0 μB per formula unit.

It has space group I-42d (No. 122), with a = 9.891 Å, b = 9.891 Å, c = 5.062 Å, α = 90.00°, β = 90.00° and γ = 90.00°. The distinct sites, in fractional coordinates, are Na at (0.142, 0.250, 0.125), Nb at (0.000, 0.000, 0.500) and Se at (0.000, 0.000, 0.000).